1.
First-principles (PBE) data for crystalline Pm5YEr2Tm at its relaxed geometry, as listed in the Alexandria database.

Properties
E_form (eV per atom): 0.151

Cell and atoms, written as CIF:
```
data_Pm5YEr2Tm
_chemical_formula_sum 'Pm20 Y4 Er8 Tm4'
_symmetry_space_group_name_H-M 'C m c 21'
_symmetry_Int_Tables_number 36
_cell_length_a 5.628
_cell_length_b 20.302
_cell_length_c 10.624
_cell_angle_alpha 90.00
_cell_angle_beta 90.00
_cell_angle_gamma 90.00
loop_
_symmetry_equiv_pos_as_xyz
'x,y,z'
'-x,-y,z+1/2'
'-x,y,z'
'x,-y,z+1/2'
'x+1/2,y+1/2,z'
'-x+1/2,-y+1/2,z+1/2'
'-x+1/2,y+1/2,z'
'x+1/2,-y+1/2,z+1/2'
loop_
_atom_site_label
_atom_site_type_symbol
_atom_site_fract_x
_atom_site_fract_y
_atom_site_fract_z
Pm1 Pm 0.000 0.016 0.000
Pm2 Pm 0.000 0.279 0.296
Pm3 Pm 0.000 0.298 0.692
Pm4 Pm 0.000 0.384 0.004
Pm5 Pm 0.000 0.483 0.726
Y1 Y 0.000 0.408 0.444
Er1 Er 0.000 0.113 0.721
Er2 Er 0.000 0.114 0.292
Tm1 Tm 0.000 0.199 0.995
```

***

2.
First-principles (PBE) data for crystalline LaCoSi3 at its relaxed geometry, as listed in the Alexandria database.

Properties
ΔE_f (raw) (eV per atom): 1.93

Cell and atoms, written as CIF:
```
data_LaCoSi3
_chemical_formula_sum 'La1 Co1 Si3'
_symmetry_space_group_name_H-M 'P m -3 m'
_symmetry_Int_Tables_number 221
_symmetry_space_group_name_Hall '-P 4 2 3'
_cell_length_a 5.476
_cell_length_b 5.476
_cell_length_c 5.476
_cell_angle_alpha 90.00
_cell_angle_beta 90.00
_cell_angle_gamma 90.00
loop_
_atom_site_label
_atom_site_type_symbol
_atom_site_fract_x
_atom_site_fract_y
_atom_site_fract_z
La1 La 0.000 0.000 0.000
Co1 Co 0.500 0.500 0.500
Si1 Si 0.000 0.000 0.500
```

***

3.
First-principles (PBE) data for crystalline Li2SbPb at its relaxed geometry, as listed in the Alexandria database.

Properties
Offset from the most stable computed form (meV per atom): 172
ΔE_f (raw) (eV per atom): -0.20

Cell and atoms, written as CIF:
```
data_Li2SbPb
_chemical_formula_sum 'Li8 Sb4 Pb4'
_symmetry_space_group_name_H-M 'F -4 3 m'
_symmetry_Int_Tables_number 216
_symmetry_space_group_name_Hall 'F -4 2 3'
_cell_length_a 7.393
_cell_length_b 7.393
_cell_length_c 7.393
_cell_angle_alpha 90.00
_cell_angle_beta 90.00
_cell_angle_gamma 90.00
loop_
_atom_site_label
_atom_site_type_symbol
_atom_site_fract_x
_atom_site_fract_y
_atom_site_fract_z
Li1 Li 0.000 0.000 0.000
Li2 Li 0.250 0.250 0.250
Sb1 Sb 0.250 0.250 0.750
Pb1 Pb 0.000 0.000 0.500
```

***

4.
First-principles (PBE) data for crystalline KTlInBi at its relaxed geometry, as listed in the Alexandria database.

Properties
Offset from the most stable computed form (meV per atom): 29
E_form (eV per atom): -0.123

Cell and atoms, written as CIF:
```
data_KTlInBi
_chemical_formula_sum 'K3 Tl3 In3 Bi3'
_symmetry_space_group_name_H-M 'R 3 m'
_symmetry_Int_Tables_number 160
_symmetry_space_group_name_Hall 'R 3 -2"'
_cell_length_a 5.0886
_cell_length_b 5.0886
_cell_length_c 20.1050
_cell_angle_alpha 90.00
_cell_angle_beta 90.00
_cell_angle_gamma 120.00
loop_
_atom_site_label
_atom_site_type_symbol
_atom_site_fract_x
_atom_site_fract_y
_atom_site_fract_z
K1 K 0.0000 0.0000 0.0000
Tl1 Tl 0.0000 0.0000 0.4371
In1 In 0.0000 0.0000 0.8146
Bi1 Bi 0.0000 0.0000 0.2148
```

***

What is the formula in the third record? Li2SbPb